[1]
The following is a GGA-PBE calculation of a geometry-optimized Pm5NdTm2Th structure, from Alexandria via LeMat-Bulk.

Lattice parameters (Å, degrees): 10.582 10.582 10.546 90.00 90.00 148.83
Fractional positions:
Pm 0.015 0.985 0.500
Pm 0.277 0.723 0.792
Pm 0.293 0.707 0.182
Pm 0.388 0.612 0.505
Pm 0.477 0.523 0.219
Pm 0.523 0.477 0.719
Pm 0.612 0.388 0.005
Pm 0.707 0.293 0.682
Pm 0.723 0.277 0.292
Pm 0.985 0.015 0.000
Nd 0.411 0.589 0.925
Nd 0.589 0.411 0.425
Tm 0.113 0.887 0.213
Tm 0.116 0.884 0.796
Tm 0.884 0.116 0.296
Tm 0.887 0.113 0.713
Th 0.199 0.801 0.491
Th 0.801 0.199 0.991

Calculated values
electronic total energy	-86.8	eV per cell
V	611.3	Å³/cell
formation energy	0.163	eV/atom
SG	Cmc2_1 (36)

[2]
The following is a GGA-PBE calculation of a geometry-optimized Pm5Nd2TmTh structure, from Alexandria via LeMat-Bulk.

Lattice parameters (Å, degrees): 10.727 10.727 10.607 90.00 90.00 149.29
Fractional positions:
Pm 0.014 0.986 0.500
Pm 0.275 0.725 0.798
Pm 0.293 0.707 0.188
Pm 0.382 0.618 0.507
Pm 0.484 0.516 0.229
Pm 0.516 0.484 0.729
Pm 0.618 0.382 0.007
Pm 0.707 0.293 0.688
Pm 0.725 0.275 0.298
Pm 0.986 0.014 0.000
Nd 0.114 0.886 0.218
Nd 0.115 0.885 0.794
Nd 0.885 0.115 0.294
Nd 0.886 0.114 0.718
Tm 0.404 0.596 0.947
Tm 0.596 0.404 0.447
Th 0.198 0.802 0.496
Th 0.802 0.198 0.996

Calculated values
electronic total energy	-87.7	eV per cell
V	623.2	Å³/cell
formation energy	0.146	eV/atom
SG	Cmc2_1 (36)

[3]
The following is a GGA-PBE calculation of a geometry-optimized PmNd2Tm5Th structure, from Alexandria via LeMat-Bulk.

Lattice parameters (Å, degrees): 9.822 9.822 9.822 127.61 127.61 77.25
Fractional positions:
Pm 0.250 0.750 0.500
Pm 0.750 0.250 0.500
Nd 0.116 0.616 0.733
Nd 0.384 0.116 0.500
Nd 0.616 0.884 0.500
Nd 0.884 0.384 0.267
Tm 0.000 0.000 0.000
Tm 0.074 0.148 0.500
Tm 0.148 0.648 0.074
Tm 0.352 0.426 0.500
Tm 0.426 0.926 0.074
Tm 0.500 0.500 0.000
Tm 0.574 0.074 0.926
Tm 0.648 0.574 0.500
Tm 0.852 0.352 0.926
Tm 0.926 0.852 0.500
Th 0.250 0.250 0.000
Th 0.750 0.750 0.000

Calculated values
electronic total energy	-83.0	eV per cell
V	576.9	Å³/cell
formation energy	0.286	eV/atom
SG	I4/mcm (140)